(1)
A relaxed structure of Li3Ac3Pd8, computed with GGA-PBE.

a b c (Å): 8.484 8.484 8.484
angles (deg): 149.55 110.68 77.57
Atoms (fractional coordinates):
Li (0.000, 0.000, 0.000)
Li (0.227, 0.500, 0.727)
Li (0.773, 0.500, 0.273)
Ac (0.200, 0.700, 0.500)
Ac (0.500, 0.000, 0.500)
Ac (0.800, 0.300, 0.500)
Pd (0.103, 0.891, 0.212)
Pd (0.175, 0.320, 0.854)
Pd (0.320, 0.109, 0.212)
Pd (0.466, 0.320, 0.146)
Pd (0.534, 0.680, 0.854)
Pd (0.680, 0.891, 0.788)
Pd (0.825, 0.680, 0.146)
Pd (0.897, 0.109, 0.788)

## Properties
Symmetry: Immm
Energy relative to the elements, eV per atom: -0.61
N(E_F), states/eV per cell: 5.58
Total magnetic moment, μB per atom: 0.0000

(2)
A relaxed structure of TlCrHRh2, computed with GGA-PBE.

a b c (Å): 4.124 4.124 3.907
angles (deg): 90.00 90.00 90.00
Atoms (fractional coordinates):
Tl (0.000, 0.000, 0.000)
Cr (0.500, 0.500, 0.000)
H (0.500, 0.500, 0.500)
Rh (0.000, 0.500, 0.500)
Rh (0.500, 0.000, 0.500)

## Properties
Symmetry: P4/mmm
N(E_F), states/eV per cell: 3.09
Total magnetic moment, μB per atom: 0.7531
Electronic total energy, eV/atom: -5.974

(3)
A relaxed structure of BaGe4Br12, computed with GGA-PBE.

a b c (Å): 8.972 8.972 8.972
angles (deg): 109.47 109.47 109.47
Atoms (fractional coordinates):
Ba (0.000, 0.000, 0.000)
Ge (0.000, 0.000, 0.500)
Ge (0.000, 0.500, 0.000)
Ge (0.500, 0.000, 0.000)
Ge (0.500, 0.500, 0.500)
Br (0.109, 0.293, 0.816)
Br (0.184, 0.477, 0.293)
Br (0.184, 0.891, 0.707)
Br (0.293, 0.184, 0.477)
Br (0.293, 0.816, 0.109)
Br (0.477, 0.293, 0.184)
Br (0.523, 0.707, 0.816)
Br (0.707, 0.184, 0.891)
Br (0.707, 0.816, 0.523)
Br (0.816, 0.109, 0.293)
Br (0.816, 0.523, 0.707)
Br (0.891, 0.707, 0.184)

## Properties
Symmetry: Im-3
N(E_F), states/eV per cell: 6.07
Total magnetic moment, μB per atom: 0.0000
Raw formation energy, meV per atom: -748

(4)
A relaxed structure of Ag2INF, computed with GGA-PBE.

a b c (Å): 5.398 5.398 4.069
angles (deg): 90.00 90.00 90.00
Atoms (fractional coordinates):
Ag (0.000, 0.500, 0.000)
Ag (0.500, 0.000, 0.000)
I (0.000, 0.000, 0.000)
N (0.000, 0.000, 0.500)
F (0.500, 0.500, 0.500)

## Properties
Symmetry: P4/mmm
N(E_F), states/eV per cell: 2.26
Total magnetic moment, μB per atom: 0.0000
Raw formation energy, meV per atom: 860

(5)
A relaxed structure of RbGa2PdBr, computed with GGA-PBE.

a b c (Å): 4.852 4.852 6.811
angles (deg): 90.00 90.00 90.00
Atoms (fractional coordinates):
Rb (0.000, 0.000, 0.000)
Ga (0.000, 0.500, 0.500)
Ga (0.500, 0.000, 0.500)
Pd (0.000, 0.000, 0.500)
Br (0.500, 0.500, 0.000)

## Properties
Symmetry: P4/mmm
N(E_F), states/eV per cell: 1.15
Total magnetic moment, μB per atom: 0.0000
Raw formation energy, meV per atom: -553

(6)
A relaxed structure of CsLaNi2, computed with GGA-PBE.

a b c (Å): 6.893 6.893 6.893
angles (deg): 109.15 109.15 110.11
Atoms (fractional coordinates):
Cs (0.000, 0.000, 0.000)
Cs (0.750, 0.250, 0.500)
La (0.250, 0.750, 0.500)
La (0.500, 0.500, 0.000)
Ni (0.192, 0.125, 0.567)
Ni (0.375, 0.808, 0.933)
Ni (0.558, 0.625, 0.433)
Ni (0.875, 0.442, 0.067)

## Properties
Symmetry: I-42d
Energy relative to the elements, eV per atom: 0.57
Excess energy over the best structure of this formula in the dataset, meV per atom: 15.5
N(E_F), states/eV per cell: 0.35
Total magnetic moment, μB per atom: 0.0000